[1]
ScMn4 | Alexandria | PBE | relaxed; crystal system = cubic; ρ = 4.6 g cm⁻³; DFT total energy = -35.73 eV for the cell shown; energy above the lowest structure with this stoichiometry = 1.4346 eV/atom; energy of formation = 33.58 kcal/mol of atoms; total magnetic moment = 13.7 μB/f.u.
1.0
4.582 0.000 0.000
0.000 4.582 0.000
0.000 0.000 4.582
Sc Mn
1 4
direct
0.000 0.000 0.000 Sc
0.000 0.000 0.500 Mn
0.000 0.500 0.000 Mn
0.500 0.000 0.000 Mn
0.500 0.500 0.500 Mn

***

[2]
Sc5Mn3 | Alexandria | PBE | relaxed; crystal system = orthorhombic; ρ = 4.2 g cm⁻³; DFT total energy = -116.51 eV for the cell shown; energy above the lowest structure with this stoichiometry = 0.0480 eV/atom; energy of formation = 2.62 kcal/mol of atoms; total magnetic moment = 6.5 μB/f.u.
1.0
7.508 0.000 0.000
0.000 9.201 0.000
0.000 0.000 4.461
Sc Mn
10 6
direct
0.000 0.000 0.000 Sc
0.214 0.500 0.500 Sc
0.250 0.250 0.000 Sc
0.250 0.750 0.000 Sc
0.286 0.000 0.500 Sc
0.500 0.500 0.000 Sc
0.714 0.000 0.500 Sc
0.750 0.250 0.000 Sc
0.750 0.750 0.000 Sc
0.786 0.500 0.500 Sc
0.000 0.235 0.500 Mn
0.000 0.500 0.000 Mn
0.000 0.765 0.500 Mn
0.500 0.000 0.000 Mn
0.500 0.265 0.500 Mn
0.500 0.735 0.500 Mn

***

[3]
Sc4Mn5 | Alexandria | PBE | relaxed; crystal system = hexagonal; ρ = 4.9 g cm⁻³; DFT total energy = -139.42 eV for the cell shown; energy above the lowest structure with this stoichiometry = 0.0190 eV/atom; energy of formation = 3.75 kcal/mol of atoms; total magnetic moment = 13.5 μB/f.u.
1.0
7.943 0.000 0.000
-3.972 6.879 0.000
0.000 0.000 5.670
Sc Mn
8 10
direct
0.000 0.000 0.000 Sc
0.000 0.000 0.500 Sc
0.000 0.358 0.250 Sc
0.000 0.642 0.750 Sc
0.358 0.000 0.250 Sc
0.358 0.358 0.750 Sc
0.642 0.000 0.750 Sc
0.642 0.642 0.250 Sc
0.000 0.323 0.750 Mn
0.000 0.677 0.250 Mn
0.323 0.000 0.750 Mn
0.323 0.323 0.250 Mn
0.333 0.667 0.000 Mn
0.333 0.667 0.500 Mn
0.667 0.333 0.000 Mn
0.667 0.333 0.500 Mn
0.677 0.000 0.250 Mn
0.677 0.677 0.750 Mn

***

[4]
Sc4Mn | Alexandria | PBE | relaxed; crystal system = cubic; ρ = 3.4 g cm⁻³; DFT total energy = -33.50 eV for the cell shown; energy above the lowest structure with this stoichiometry = 0.0500 eV/atom; energy of formation = 4.57 kcal/mol of atoms; total magnetic moment = 0.1 μB/f.u.
1.0
4.877 0.000 0.000
0.000 4.877 0.000
0.000 0.000 4.877
Sc Mn
4 1
direct
0.000 0.000 0.000 Sc
0.000 0.500 0.500 Sc
0.500 0.000 0.500 Sc
0.500 0.500 0.000 Sc
0.500 0.500 0.500 Mn

***

[5]
ScMn4 | Alexandria | PBE | relaxed; crystal system = tetragonal; ρ = 6.4 g cm⁻³; DFT total energy = -85.80 eV for the cell shown; energy above the lowest structure with this stoichiometry = 0.0000 eV/atom; energy of formation = 0.50 kcal/mol of atoms; total magnetic moment = 0.6 μB/f.u.
1.0
3.858 0.000 0.000
0.000 3.858 0.000
0.000 0.000 9.201
Sc Mn
2 8
direct
0.000 0.000 0.000 Sc
0.500 0.500 0.500 Sc
0.000 0.000 0.378 Mn
0.000 0.000 0.622 Mn
0.000 0.500 0.250 Mn
0.000 0.500 0.750 Mn
0.500 0.000 0.250 Mn
0.500 0.000 0.750 Mn
0.500 0.500 0.122 Mn
0.500 0.500 0.878 Mn

***

[6]
Sc5Mn3 | Alexandria | PBE | relaxed; crystal system = tetragonal; ρ = 4.2 g cm⁻³; DFT total energy = -117.28 eV for the cell shown; energy above the lowest structure with this stoichiometry = 0.0000 eV/atom; energy of formation = 1.52 kcal/mol of atoms; total magnetic moment = 5.1 μB/f.u.
1.0
-5.288 5.288 2.754
5.288 -5.288 2.754
5.288 5.288 -2.754
Sc Mn
10 6
direct
0.000 0.500 0.500 Sc
0.035 0.170 0.706 Sc
0.170 0.464 0.134 Sc
0.329 0.035 0.866 Sc
0.464 0.329 0.294 Sc
0.500 0.000 0.500 Sc
0.535 0.829 0.866 Sc
0.670 0.535 0.706 Sc
0.829 0.964 0.294 Sc
0.964 0.670 0.134 Sc
0.000 0.000 0.000 Mn
0.087 0.912 0.500 Mn
0.412 0.587 0.500 Mn
0.500 0.500 0.000 Mn
0.587 0.087 0.175 Mn
0.912 0.412 0.825 Mn

***

[7]
ScMn2Se4 | Alexandria | PBE | relaxed; crystal system = monoclinic; ρ = 5.1 g cm⁻³; DFT total energy = -89.25 eV for the cell shown; formation energy without anion corrections = -0.859 eV/atom; total magnetic moment = 9.0 μB/f.u.
1.0
13.728 0.000 0.000
0.000 3.796 0.000
-2.860 0.000 5.912
Sc Mn Se
2 4 8
direct
0.000 0.000 0.000 Sc
0.500 0.500 0.000 Sc
0.236 0.500 0.711 Mn
0.264 0.000 0.289 Mn
0.736 0.000 0.711 Mn
0.764 0.500 0.289 Mn
0.123 0.000 0.453 Se
0.137 0.500 0.977 Se
0.363 0.000 0.023 Se
0.377 0.500 0.547 Se
0.623 0.500 0.453 Se
0.637 0.000 0.977 Se
0.863 0.500 0.023 Se
0.877 0.000 0.547 Se

***

[8]
Sc2Mn2Se | Alexandria | PBE | relaxed; crystal system = tetragonal; ρ = 4.4 g cm⁻³; DFT total energy = -64.27 eV for the cell shown; formation energy without anion corrections = 0.471 eV/atom; energy above the lowest structure with this stoichiometry = 0.6395 eV/atom; total magnetic moment = 6.1 μB/f.u.
1.0
4.175 0.000 0.000
0.000 4.175 0.000
0.000 0.000 11.968
Sc Mn Se
4 4 2
direct
0.000 0.500 0.250 Sc
0.000 0.500 0.750 Sc
0.500 0.000 0.250 Sc
0.500 0.000 0.750 Sc
0.000 0.000 0.099 Mn
0.000 0.000 0.901 Mn
0.500 0.500 0.401 Mn
0.500 0.500 0.599 Mn
0.000 0.000 0.500 Se
0.500 0.500 0.000 Se

***

[9]
Sc2Mn2Se | Alexandria | PBE | relaxed; crystal system = tetragonal; ρ = 5.6 g cm⁻³; DFT total energy = -70.66 eV for the cell shown; formation energy without anion corrections = -0.169 eV/atom; energy above the lowest structure with this stoichiometry = 0.0000 eV/atom; total magnetic moment = 0.0 μB/f.u.
1.0
6.220 0.000 0.000
0.000 6.220 0.000
0.000 0.000 4.238
Sc Mn Se
4 4 2
direct
0.174 0.326 0.000 Sc
0.326 0.826 0.000 Sc
0.674 0.174 0.000 Sc
0.826 0.674 0.000 Sc
0.117 0.617 0.500 Mn
0.383 0.117 0.500 Mn
0.617 0.883 0.500 Mn
0.883 0.383 0.500 Mn
0.000 0.000 0.500 Se
0.500 0.500 0.500 Se

***

[10]
Sc2MnSe4 | Alexandria | PBE | relaxed; crystal system = cubic; ρ = 4.4 g cm⁻³; DFT total energy = -90.40 eV for the cell shown; formation energy without anion corrections = -1.347 eV/atom; total magnetic moment = 5.0 μB/f.u.
1.0
0.000 5.572 5.572
5.572 0.000 5.572
5.572 5.572 0.000
Sc Mn Se
4 2 8
direct
0.000 0.000 0.000 Sc
0.000 0.000 0.500 Sc
0.000 0.500 0.000 Sc
0.500 0.000 0.000 Sc
0.375 0.375 0.375 Mn
0.625 0.625 0.625 Mn
0.232 0.756 0.756 Se
0.244 0.244 0.244 Se
0.244 0.244 0.768 Se
0.244 0.768 0.244 Se
0.756 0.232 0.756 Se
0.756 0.756 0.232 Se
0.756 0.756 0.756 Se
0.768 0.244 0.244 Se

***

[11]
ScMn2Se3 | Alexandria | PBE | relaxed; crystal system = monoclinic; ρ = 5.4 g cm⁻³; DFT total energy = -80.25 eV for the cell shown; formation energy without anion corrections = -0.834 eV/atom; total magnetic moment = 9.0 μB/f.u.
1.0
7.074 -1.934 0.000
7.074 1.934 0.000
-2.347 0.000 8.874
Sc Mn Se
2 4 6
direct
0.000 0.000 0.000 Sc
0.500 0.500 0.500 Sc
0.166 0.166 0.823 Mn
0.331 0.331 0.674 Mn
0.669 0.669 0.326 Mn
0.834 0.834 0.177 Mn
0.031 0.031 0.306 Se
0.306 0.306 0.365 Se
0.360 0.360 0.978 Se
0.640 0.640 0.022 Se
0.694 0.694 0.635 Se
0.969 0.969 0.694 Se

***

[12]
Sm2ScMnSe5 | Alexandria | PBE | relaxed; crystal system = orthorhombic; ρ = 6.3 g cm⁻³; DFT total energy = -111.54 eV for the cell shown; formation energy without anion corrections = -1.490 eV/atom; total magnetic moment = 4.3 μB/f.u.
1.0
2.003 -8.520 0.000
2.003 8.520 0.000
0.000 0.000 12.210
Sm Sc Mn Se
4 2 2 10
direct
0.117 0.883 0.500 Sm
0.124 0.876 0.854 Sm
0.876 0.124 0.354 Sm
0.883 0.117 0.000 Sm
0.182 0.818 0.180 Sc
0.818 0.182 0.680 Sc
0.441 0.559 0.589 Mn
0.559 0.441 0.089 Mn
0.021 0.979 0.188 Se
0.303 0.697 0.520 Se
0.304 0.696 0.837 Se
0.343 0.657 0.175 Se
0.497 0.503 0.911 Se
0.503 0.497 0.411 Se
0.657 0.343 0.675 Se
0.696 0.304 0.337 Se
0.697 0.303 0.020 Se
0.979 0.021 0.688 Se